# Sr2SiP (SCAN, single point on PBEsol structure)
data_Sr2SiP
_cell_length_a 6.1999
_cell_length_b 6.1999
_cell_length_c 6.1999
_cell_angle_alpha 138.86
_cell_angle_beta 138.86
_cell_angle_gamma 59.59
_symmetry_space_group_name_H-M 'P 1'
_symmetry_Int_Tables_number 1
loop_
_symmetry_equiv_pos_as_xyz
'x,y,z'
loop_
_atom_site_label
_atom_site_fract_x
_atom_site_fract_y
_atom_site_fract_z
_atom_site_occupancy
Sr1 0.0000 0.0000 0.0000 1
Sr2 0.7500 0.2500 0.5000 1
Si1 0.2500 0.7500 0.5000 1
P1 0.5000 0.5000 0.0000 1
# relative energy among the computed polymorphs = 177 meV/atom
# size of the total moment = 0.00 μB per cell
# space group = I-4m2
# energy = -16.527 eV per atom
# crystal system = tetragonal